[1]
First-principles (PBE) data for crystalline Pr5NdDy3 at its relaxed geometry, as listed in Alexandria.

The total magnetization comes out at 0.0 μB/f.u. Its polymorph energy (0 for the lowest one) is 0.195 eV/atom. The formation energy from the elements is 464 meV/atom.

Cell lengths 12.040, 11.912, 10.025 Å; angles 90.00, 105.35, 90.00 degrees
Space group C2/m (No. 12)
Unique sites:
Pr1 0.000 0.246 0.000 x4
Pr2 0.148 0.249 0.645 x8
Pr3 0.241 0.000 0.417 x4
Pr4 0.248 0.000 0.082 x4
Nd1 0.235 0.500 0.231 x4
Dy1 0.000 0.000 0.176 x4
Dy2 0.000 0.000 0.500 x2
Dy3 0.000 0.500 0.000 x2
Dy4 0.007 0.500 0.341 x4



[2]
First-principles (PBE) data for crystalline Pr6Nd3Dy2 at its relaxed geometry, as listed in Alexandria.

The total magnetization comes out at 0.0 μB/f.u. Its polymorph energy (0 for the lowest one) is 0.000 eV/atom. The formation energy from the elements is 13 meV/atom.

Cell lengths 3.6735, 3.6735, 99.0176 Å; angles 90.00, 90.00, 120.00 degrees
Space group R-3m (No. 166, hexagonal axes)
Unique sites:
Pr1 0.0000 0.0000 0.0919 x6
Pr2 0.0000 0.0000 0.1822 x6
Pr3 0.0000 0.0000 0.3639 x6
Nd1 0.0000 0.0000 0.0000 x3
Nd2 0.0000 0.0000 0.2722 x6
Dy1 0.0000 0.0000 0.4548 x6



[3]
First-principles (PBE) data for crystalline Pr7Nd2Dy2 at its relaxed geometry, as listed in Alexandria.

The total magnetization comes out at 0.0 μB/f.u. Its polymorph energy (0 for the lowest one) is 0.189 eV/atom. The formation energy from the elements is 316 meV/atom.

Cell lengths 6.794, 12.338, 9.674 Å; angles 90.00, 90.00, 90.00 degrees
Space group Cmmm (No. 65)
Unique sites:
Pr1 0.000 0.000 0.000 x2
Pr2 0.000 0.500 0.177 x4
Pr3 0.250 0.250 0.316 x8
Nd1 0.249 0.000 0.500 x4
Dy1 0.000 0.267 0.000 x4



[4]
First-principles (PBE) data for crystalline Pr2Nd5Dy6 at its relaxed geometry, as listed in Alexandria.

The total magnetization comes out at 0.0 μB/f.u. The formation energy from the elements is 93 meV/atom.

Cell lengths 11.816, 20.703, 3.624 Å; angles 90.00, 90.00, 90.00 degrees
Space group Pbam (No. 55)
Unique sites:
Pr1 0.174 0.220 0.000 x4
Nd1 0.000 0.500 0.500 x2
Nd2 0.085 0.781 0.500 x4
Nd3 0.201 0.054 0.500 x4
Dy1 0.062 0.925 0.000 x4
Dy2 0.074 0.636 0.000 x4
Dy3 0.182 0.373 0.500 x4



Number 4 is which compound?
Pr2Nd5Dy6



Which value of formation energy from the elements does entry 3 give?
316 meV/atom